[1]
The following is a DFT calculation (PBE) of an optimized crystal structure of CsRb2F7.

Cell: 6.350 6.350 10.266 Å, 90.00 90.00 90.00°
Space group I4/mmm (No. 139)
Unique sites:
Cs 0.000 0.000 0.000 x2
Rb 0.000 0.500 0.250 x4
F 0.000 0.000 0.239 x4
F 0.000 0.000 0.500 x2
F 0.220 0.220 0.500 x8

uncorrected formation energy: -1467 meV per atom
M_tot: 3.8 μB per cell

---

[2]
The following is a DFT calculation (PBE) of an optimized crystal structure of Ta4TiNb5.

Cell: 3.319 3.319 16.433 Å, 90.00 90.00 90.00°
Space group P4/mmm (No. 123)
Unique sites:
Ta 0.000 0.000 0.100 x2
Ta 0.000 0.000 0.302 x2
Ti 0.000 0.000 0.500 x1
Nb 0.500 0.500 0.000 x1
Nb 0.500 0.500 0.202 x2
Nb 0.500 0.500 0.401 x2

formation energy: 5 meV per atom
M_tot: 0.0 μB per cell

---

[3]
The following is a DFT calculation (PBE) of an optimized crystal structure of AcCu3Sn4O12.

Cell: 7.878 7.878 7.878 Å, 90.00 90.00 90.00°
Space group Im-3 (No. 204)
Unique sites:
Ac 0.000 0.000 0.000 x2
Cu 0.000 0.000 0.500 x6
Sn 0.250 0.250 0.250 x8
O 0.000 0.303 0.172 x24

uncorrected formation energy: -1492 meV per atom
M_tot: 4.1 μB per cell

---

[4]
The following is a DFT calculation (PBE) of an optimized crystal structure of CsPaSeO5.

Cell: 7.706 10.297 8.233 Å, 90.00 107.61 90.00°
Space group C2/c (No. 15)
Unique sites:
Cs 0.000 0.156 0.250 x4
Pa 0.000 0.500 0.000 x4
Se 0.000 0.178 0.750 x4
O 0.000 0.441 0.250 x4
O 0.087 0.280 0.631 x8
O 0.244 0.077 0.940 x8

uncorrected formation energy: -2108 meV per atom
M_tot: 0.0 μB per cell

---

[5]
The following is a DFT calculation (PBE) of an optimized crystal structure of YEr2Th.

Cell: 5.029 5.029 4.963 Å, 90.00 90.00 90.00°
Space group P4/mmm (No. 123)
Unique sites:
Y 0.000 0.000 0.000 x1
Er 0.000 0.500 0.500 x2
Th 0.500 0.500 0.000 x1

formation energy: 41 meV per atom
M_tot: 0.0 μB per cell
excess energy over the best structure of this formula in the dataset: 0.038 eV/atom

---

[6]
The following is a DFT calculation (PBE) of an optimized crystal structure of KRbNaCd.

Cell: 9.180 9.180 9.180 Å, 90.00 90.00 90.00°
Space group F-43m (No. 216)
Unique sites:
K 0.000 0.000 0.000 x4
Rb 0.000 0.000 0.500 x4
Na 0.250 0.250 0.750 x4
Cd 0.250 0.250 0.250 x4

formation energy: 19 meV per atom
M_tot: 0.0 μB per cell
excess energy over the best structure of this formula in the dataset: 0.009 eV/atom